# La2MnCoRe, relaxed, DFT PBE
# Formation energy from the elements = 731 meV/atom
# DFT total energy = -6.9844 eV per atom
# Spin magnetization = 4.79 μB per formula unit
# Volume = 27.74 Å³/atom
data_La2MnCoRe
_cell_length_a 5.561
_cell_length_b 5.561
_cell_length_c 4.486
_cell_angle_alpha 90.00
_cell_angle_beta 90.00
_cell_angle_gamma 90.00
_space_group_name_H-M_alt 'P 4/m m m'
_space_group_IT_number 123
_space_group_name_Hall '-P 4 2'
loop_
_atom_site_label
_atom_site_type_symbol
_atom_site_fract_x
_atom_site_fract_y
_atom_site_fract_z
_atom_site_occupancy
La1 La 0.000 0.500 0.000 1
Mn1 Mn 0.000 0.000 0.500 1
Co1 Co 0.500 0.500 0.500 1
Re1 Re 0.500 0.500 0.000 1